# 1
! PBE HoEr2Hg5, relaxed; values from VASP
! SG = Amm2, No. 38
! Final energy = -0.08492 Ha/atom
! Energy of formation from the pure elements = -412 meV/atom
&SYSTEM
  ibrav = 0, nat = 8, ntyp = 3
/
ATOMIC_SPECIES
Er 167.26 Er.upf
Hg 200.59 Hg.upf
Ho 164.93 Ho.upf
CELL_PARAMETERS angstrom
-0.4843 0.2347 5.0641
3.6938 -5.1120 0.5902
6.0328 1.8682 0.4904
ATOMIC_POSITIONS crystal
Er 0.5000 0.3399 0.3399
Hg 0.0000 0.6291 0.1383
Ho 0.5000 0.8965 0.8965
Hg 0.0000 0.1383 0.6291
Hg 0.0000 0.1294 0.1294
Hg 0.5000 0.3954 0.8380
Er 0.0000 0.6335 0.6335
Hg 0.5000 0.8380 0.3954

***

# 2
! PBE La5AgPb3, relaxed; values from VASP
! SG = P6_3/mcm, No. 193
! Final energy = -0.17769 Ha/atom
&SYSTEM
  ibrav = 0, nat = 18, ntyp = 3
/
ATOMIC_SPECIES
La 138.91 La.upf
Pb 207.20 Pb.upf
Ag 107.87 Ag.upf
CELL_PARAMETERS angstrom
9.8341 0.0000 0.0000
-4.9170 8.5166 0.0000
0.0000 0.0000 6.9455
ATOMIC_POSITIONS crystal
La 0.7257 0.0000 0.7500
La 0.6667 0.3333 0.0000
Pb 0.3766 0.0000 0.7500
Ag 0.0000 0.0000 0.0000
Pb 0.0000 0.3766 0.7500
La 0.3333 0.6667 0.0000
La 0.2743 0.0000 0.2500
La 0.2743 0.2743 0.7500
Ag 0.0000 0.0000 0.5000
La 0.0000 0.2743 0.2500
Pb 0.0000 0.6234 0.2500
Pb 0.6234 0.6234 0.7500
La 0.7257 0.7257 0.2500
Pb 0.3766 0.3766 0.2500
La 0.3333 0.6667 0.5000
Pb 0.6234 0.0000 0.2500
La 0.6667 0.3333 0.5000
La 0.0000 0.7257 0.7500

***

> Look up the final energy of the second one.

-0.17769 Ha/atom

***

> What is the final energy in the first record?

-0.08492 Ha/atom

***

Copy entry 2 word for word.
! PBE La5AgPb3, relaxed; values from VASP
! SG = P6_3/mcm, No. 193
! Final energy = -0.17769 Ha/atom
&SYSTEM
  ibrav = 0, nat = 18, ntyp = 3
/
ATOMIC_SPECIES
La 138.91 La.upf
Pb 207.20 Pb.upf
Ag 107.87 Ag.upf
CELL_PARAMETERS angstrom
9.8341 0.0000 0.0000
-4.9170 8.5166 0.0000
0.0000 0.0000 6.9455
ATOMIC_POSITIONS crystal
La 0.7257 0.0000 0.7500
La 0.6667 0.3333 0.0000
Pb 0.3766 0.0000 0.7500
Ag 0.0000 0.0000 0.0000
Pb 0.0000 0.3766 0.7500
La 0.3333 0.6667 0.0000
La 0.2743 0.0000 0.2500
La 0.2743 0.2743 0.7500
Ag 0.0000 0.0000 0.5000
La 0.0000 0.2743 0.2500
Pb 0.0000 0.6234 0.2500
Pb 0.6234 0.6234 0.7500
La 0.7257 0.7257 0.2500
Pb 0.3766 0.3766 0.2500
La 0.3333 0.6667 0.5000
Pb 0.6234 0.0000 0.2500
La 0.6667 0.3333 0.5000
La 0.0000 0.7257 0.7500